(1)
Here is a relaxed Mn3AsIr crystal from Alexandria. Energies are from PBE.

Unit cell a=4.7926 b=4.7926 c=4.7926 alpha=90.00 beta=90.00 gamma=90.00
With the nearest neighbours (Å) after each atom.
Sites, in units of the cell vectors:
As1 0.5000 0.5000 0.5000  12 Mn 3.39
Ir1 0.0000 0.0000 0.0000  6 Mn 2.40
Mn1 0.0000 0.5000 0.0000  2 Ir 2.40
Mn2 0.0000 0.0000 0.5000  2 Ir 2.40
Mn3 0.5000 0.0000 0.0000  2 Ir 2.40

Calculated values
- Total magnetization: 12.8 μB/f.u.

(2)
Here is a relaxed Mn3AsIr crystal from Alexandria. Energies are from PBE.

Unit cell a=4.2223 b=4.2223 c=4.2223 alpha=90.00 beta=90.00 gamma=90.00
With the nearest neighbours (Å) after each atom.
Sites, in units of the cell vectors:
As1 0.0000 0.0000 0.0000  6 Mn 2.11
Ir1 0.5000 0.5000 0.5000  12 Mn 2.99
Mn1 0.0000 0.5000 0.0000  2 As 2.11
Mn2 0.0000 0.0000 0.5000  2 As 2.11
Mn3 0.5000 0.0000 0.0000  2 As 2.11

Calculated values
- Total magnetization: 0.4 μB/f.u.

Which of them is most stable, and which least? Most stable: (1); least stable: (2).

(1)
Here is a relaxed ZrMnAs2Ir crystal from Alexandria. Energies are from PBE.

Unit cell a=5.0673 b=4.8870 c=5.0673 alpha=90.00 beta=90.00 gamma=90.00
With the nearest neighbours (Å) after each atom.
Sites, in units of the cell vectors:
Mn1 0.5000 0.5000 0.5000  8 As 3.52, 4 Ir 3.58
As1 0.0000 0.0000 0.5000  2 Zr 2.53
As2 0.5000 0.0000 0.0000  2 Zr 2.53
Ir1 0.0000 0.5000 0.0000  2 Zr 2.44
Zr1 0.0000 0.0000 0.0000  2 Ir 2.44, 4 As 2.53

Calculated values
- Total magnetization: 0.6 μB/f.u.

(2)
Here is a relaxed ZrMnAs2Ir crystal from Alexandria. Energies are from PBE.

Unit cell a=4.7792 b=4.7412 c=4.7792 alpha=90.00 beta=90.00 gamma=90.00
With the nearest neighbours (Å) after each atom.
Sites, in units of the cell vectors:
Mn1 0.0000 0.5000 0.0000  2 Ir 2.37
As1 0.0000 0.0000 0.5000  2 Ir 2.39
As2 0.5000 0.0000 0.0000  2 Ir 2.39
Ir1 0.0000 0.0000 0.0000  2 Mn 2.37, 4 As 2.39
Zr1 0.5000 0.5000 0.5000  8 As 3.37, 4 Mn 3.38

Calculated values
- Total magnetization: 3.2 μB/f.u.

Which of them is most stable, and which least? Most stable: (2); least stable: (1).

(1)
Here is a relaxed MoAsIr2 crystal from Alexandria. Energies are from PBE.

Unit cell a=8.8001 b=8.8001 c=8.8001 alpha=18.63 beta=18.63 gamma=18.63
With the nearest neighbours (Å) after each atom.
Sites, in units of the cell vectors:
Mo1 0.7500 0.7500 0.7500  6 Ir 2.75, 6 Mo 2.85
Ir1 0.9985 0.9985 0.9985  3 As 2.69, 3 Mo 2.75, 6 Ir 2.85
Ir2 0.5015 0.5015 0.5015  3 As 2.69, 3 Mo 2.75, 6 Ir 2.85
As1 0.2500 0.2500 0.2500  6 Ir 2.69, 6 As 2.85

Calculated values
- Total magnetization: 0.0 μB/f.u.

(2)
Here is a relaxed MoAsIr2 crystal from Alexandria. Energies are from PBE.

Unit cell a=4.8370 b=4.8370 c=4.8370 alpha=132.45 beta=132.45 gamma=69.53
With the nearest neighbours (Å) after each atom.
Sites, in units of the cell vectors:
Mo1 0.2500 0.7500 0.5000  4 As 2.76, 8 Ir 2.78
Ir1 0.0000 0.0000 0.0000  4 Ir 2.76, 4 As 2.78, 4 Mo 2.78
Ir2 0.5000 0.5000 0.0000  4 Ir 2.76, 4 As 2.78, 4 Mo 2.78
As1 0.7500 0.2500 0.5000  4 Mo 2.76, 8 Ir 2.78

Calculated values
- Total magnetization: 0.0 μB/f.u.

Which of them is most stable, and which least? Most stable: (1); least stable: (2).

(1)
Here is a relaxed MoAsIr2 crystal from Alexandria. Energies are from PBE.

Unit cell a=2.8710 b=3.9069 c=5.4277 alpha=90.00 beta=90.00 gamma=90.00
With the nearest neighbours (Å) after each atom.
Sites, in units of the cell vectors:
Mo1 0.5000 0.5000 0.2500  2 As 2.71, 8 Ir 2.76, 2 Mo 2.87
Ir1 0.0000 0.0000 0.0061  4 Ir 2.65-2.87, 4 Mo 2.76, 4 As 2.79
Ir2 0.0000 0.0000 0.4939  4 Ir 2.65-2.87, 4 Mo 2.76, 4 As 2.79
As1 0.5000 0.5000 0.7500  2 Mo 2.71, 8 Ir 2.79, 2 As 2.87

Calculated values
- Total magnetization: 0.0 μB/f.u.

(2)
Here is a relaxed MoAsIr2 crystal from Alexandria. Energies are from PBE.

Unit cell a=4.7153 b=4.7153 c=2.8132 alpha=90.00 beta=90.00 gamma=90.00
With the nearest neighbours (Å) after each atom.
Sites, in units of the cell vectors:
Mo1 0.5000 0.0000 0.5000  8 Ir 2.75, 2 Mo 2.81
Ir1 0.0000 0.0000 0.0000  4 As 2.75, 4 Mo 2.75, 2 Ir 2.81
Ir2 0.5000 0.5000 0.0000  4 Mo 2.75, 4 As 2.75, 2 Ir 2.81
As1 0.0000 0.5000 0.5000  8 Ir 2.75, 2 As 2.81

Calculated values
- Total magnetization: 0.0 μB/f.u.

(3)
Here is a relaxed MoAsIr2 crystal from Alexandria. Energies are from PBE.

Unit cell a=5.3350 b=5.3350 c=5.3350 alpha=148.34 beta=129.93 gamma=60.46
With the nearest neighbours (Å) after each atom.
Sites, in units of the cell vectors:
Mo1 0.4756 0.4756 0.0000  2 As 2.55, 6 Ir 2.74-2.84
Ir1 0.0355 0.0355 0.0000  2 As 2.44
Ir2 0.7406 0.2406 0.5000  4 As 2.69, 2 Mo 2.84, 4 Ir 2.91-2.95
As1 0.2482 0.7482 0.5000  6 Ir 2.44-2.69, 2 Mo 2.55

Calculated values
- Total magnetization: 0.0 μB/f.u.

Which of them is most stable, and which least? Most stable: (1); least stable: (2).

(1)
Here is a relaxed MoAsIr2 crystal from Alexandria. Energies are from PBE.

Unit cell a=4.4128 b=4.4128 c=4.4128 alpha=60.00 beta=60.00 gamma=60.00
With the nearest neighbours (Å) after each atom.
Sites, in units of the cell vectors:
Mo1 0.7500 0.7500 0.7500  4 As 2.70, 4 Ir 2.70
Ir1 0.0000 0.0000 0.0000  4 Mo 2.70, 4 Ir 2.70
Ir2 0.2500 0.2500 0.2500  4 As 2.70, 4 Ir 2.70
As1 0.5000 0.5000 0.5000  4 Mo 2.70, 4 Ir 2.70

Calculated values
- Total magnetization: 0.0 μB/f.u.

(2)
Here is a relaxed MoAsIr2 crystal from Alexandria. Energies are from PBE.

Unit cell a=3.9772 b=3.9142 c=3.9142 alpha=90.00 beta=90.00 gamma=90.00
With the nearest neighbours (Å) after each atom.
Sites, in units of the cell vectors:
Mo1 0.5000 0.5000 0.0000  4 As 2.77, 8 Ir 2.79
Ir1 0.0000 0.0000 0.0000  4 Ir 2.77, 4 As 2.79, 4 Mo 2.79
Ir2 0.0000 0.5000 0.5000  4 Ir 2.77, 4 Mo 2.79, 4 As 2.79
As1 0.5000 0.0000 0.5000  4 Mo 2.77, 8 Ir 2.79

Calculated values
- Total magnetization: 1.1 μB/f.u.

Which of them is most stable, and which least? Most stable: (1); least stable: (2).

(1)
Here is a relaxed MoAsIr2 crystal from Alexandria. Energies are from PBE.

Unit cell a=4.9075 b=4.9075 c=4.5992 alpha=86.72 beta=86.72 gamma=33.42
With the nearest neighbours (Å) after each atom.
Sites, in units of the cell vectors:
Mo1 0.7500 0.7500 0.7500  4 As 2.70, 6 Ir 2.79-2.80, 2 Mo 2.82
Ir1 0.0161 0.0161 0.9914  1 As 2.56, 6 Ir 2.66-2.82, 3 Mo 2.79-2.80
Ir2 0.4839 0.4839 0.5086  1 As 2.56, 6 Ir 2.66-2.82, 3 Mo 2.79-2.80
As1 0.2500 0.2500 0.2500  2 Ir 2.56, 4 Mo 2.70, 2 As 2.82

Calculated values
- Total magnetization: 0.0 μB/f.u.

(2)
Here is a relaxed MoAsIr2 crystal from Alexandria. Energies are from PBE.

Unit cell a=4.9328 b=4.9328 c=4.5720 alpha=87.61 beta=87.61 gamma=33.94
With the nearest neighbours (Å) after each atom.
Sites, in units of the cell vectors:
Mo1 0.4749 0.4749 0.5120  1 As 2.53, 6 Ir 2.68-2.81
Ir1 0.0255 0.0255 0.9896  1 As 2.42, 2 Mo 2.68
Ir2 0.7567 0.7567 0.7455  4 As 2.68-2.73, 3 Mo 2.69-2.91, 5 Ir 2.80-2.88
As1 0.2429 0.2429 0.2529  3 Ir 2.42-2.68, 1 Mo 2.53

Calculated values
- Total magnetization: 0.0 μB/f.u.

Which of them is most stable, and which least? Most stable: (1); least stable: (2).